Co2ReMo: relaxed, PBE.

Theoretical density ... 12.59 g/cm³
Calculated total energy ... -9.139 eV per atom
Energy above the most stable polymorph in this dataset ... 276 meV per atom

The structure in CIF format:
```
data_Co2ReMo
_chemical_formula_sum 'Co2 Re1 Mo1'
_cell_length_a 4.2099
_cell_length_b 4.2099
_cell_length_c 4.2099
_cell_angle_alpha 60.00
_cell_angle_beta 60.00
_cell_angle_gamma 60.00
_space_group_name_H-M_alt 'P 1'
_space_group_IT_number 1
loop_
_space_group_symop_operation_xyz
'x,y,z'
loop_
_atom_site_label
_atom_site_fract_x
_atom_site_fract_y
_atom_site_fract_z
Re1 0.7500 0.7500 0.7500
Co1 0.0000 0.0000 0.0000
Co2 0.2500 0.2500 0.2500
Mo1 0.5000 0.5000 0.5000
```